(1)
Here is BaV2F6 after structural relaxation from Alexandria. Energies are from PBE+U.

* DOS at the Fermi energy: 0.00 states/eV/atom
* symmetry: P-31m (162)

a = 5.640 Å, b = 5.640 Å, c = 5.585 Å
α = 90.00°, β = 90.00°, γ = 120.00°
Each line ends with the local moment (μB).
Fractional coordinates of all 9 atoms:
Ba1 0.000 0.000 0.000  0.00
V1 0.333 0.667 0.500  2.76
V2 0.667 0.333 0.500  2.76
F1 0.635 0.000 0.295  0.01
F2 0.365 0.365 0.295  0.01
F3 0.000 0.635 0.295  0.01
F4 0.635 0.635 0.705  0.01
F5 0.000 0.365 0.705  0.01
F6 0.365 0.000 0.705  0.01

=====

(2)
Here is BaVF3 after structural relaxation from Alexandria. Energies are from PBE+U.

* DOS at the Fermi energy: 0.55 states/eV/atom
* symmetry: Pm-3m (221)

a = 4.402 Å, b = 4.402 Å, c = 4.402 Å
α = 90.00°, β = 90.00°, γ = 90.00°
Each line ends with the local moment (μB).
Fractional coordinates of all 5 atoms:
V1 0.000 0.000 0.000  2.94
Ba1 0.500 0.500 0.500  0.14
F1 0.000 0.500 0.000  0.02
F2 0.000 0.000 0.500  0.02
F3 0.500 0.000 0.000  0.02

=====

(3)
Here is BaVF2 after structural relaxation from Alexandria. Energies are from PBE+U.

* DOS at the Fermi energy: 0.58 states/eV/atom
* symmetry: R-3m (166)

a = 3.698 Å, b = 3.698 Å, c = 7.327 Å
α = 75.38°, β = 75.38°, γ = 60.00°
Each line ends with the local moment (μB).
Fractional coordinates of all 4 atoms:
F1 0.131 0.131 0.606  -0.02
F2 0.869 0.869 0.394  -0.02
Ba1 0.000 0.000 0.000  -0.27
V1 0.500 0.500 0.500  2.62

=====

(4)
Here is BaVF4 after structural relaxation from Alexandria. Energies are from PBE+U.

* DOS at the Fermi energy: 0.00 states/eV/atom
* symmetry: Cmcm (63)

a = 4.317 Å, b = 7.982 Å, c = 5.955 Å
α = 90.00°, β = 90.00°, γ = 105.69°
Each line ends with the local moment (μB).
Fractional coordinates of all 12 atoms:
Ba1 0.656 0.312 0.250  0.00
Ba2 0.344 0.688 0.750  0.00
V1 0.906 0.813 0.250  2.75
V2 0.094 0.187 0.750  2.75
F1 0.810 0.621 0.500  0.01
F2 0.190 0.379 0.500  0.01
F3 0.810 0.621 0.000  0.01
F4 0.190 0.379 0.000  0.01
F5 0.403 0.806 0.250  0.01
F6 0.597 0.194 0.750  0.01
F7 0.000 0.000 0.500  0.02
F8 0.000 0.000 0.000  0.02

=====

(5)
Here is BaV2F7 after structural relaxation from Alexandria. Energies are from PBE+U.

* DOS at the Fermi energy: 0.18 states/eV/atom
* symmetry: Cmmm (65)

a = 4.076 Å, b = 6.280 Å, c = 6.280 Å
α = 116.37°, β = 90.00°, γ = 90.00°
Each line ends with the local moment (μB).
Fractional coordinates of all 10 atoms:
Ba1 0.000 0.000 0.000  0.00
V1 0.500 0.686 0.314  2.37
V2 0.500 0.314 0.686  2.37
F1 0.000 0.705 0.295  0.02
F2 0.000 0.295 0.705  0.02
F3 0.500 0.046 0.330  -0.01
F4 0.500 0.954 0.670  -0.01
F5 0.500 0.330 0.046  -0.01
F6 0.500 0.670 0.954  -0.01
F7 0.500 0.500 0.500  0.00

=====

(6)
Here is BaVF2 after structural relaxation from Alexandria. Energies are from PBE+U.

* DOS at the Fermi energy: 0.41 states/eV/atom
* symmetry: I-42d (122)

a = 5.588 Å, b = 5.588 Å, c = 7.210 Å
α = 67.20°, β = 67.20°, γ = 90.00°
Each line ends with the local moment (μB).
Fractional coordinates of all 8 atoms:
V1 0.500 0.500 0.000  3.10
V2 0.250 0.750 0.500  3.10
Ba1 0.000 0.000 0.000  0.15
Ba2 0.750 0.250 0.500  0.15
F1 0.575 0.125 0.250  0.05
F2 0.175 0.625 0.250  0.05
F3 0.375 0.425 0.750  0.05
F4 0.875 0.825 0.750  0.05

=====

(7)
Here is BaVF2 after structural relaxation from Alexandria. Energies are from PBE+U.

* DOS at the Fermi energy: 0.39 states/eV/atom
* symmetry: R-3m (166)

a = 6.618 Å, b = 6.618 Å, c = 6.618 Å
α = 38.02°, β = 38.02°, γ = 38.02°
Each line ends with the local moment (μB).
Fractional coordinates of all 4 atoms:
V1 0.000 0.000 0.000  3.10
Ba1 0.500 0.500 0.500  0.03
F1 0.883 0.883 0.883  0.01
F2 0.117 0.117 0.117  0.01

=====

(8)
Here is BaV2F11 after structural relaxation from Alexandria. Energies are from PBE+U.

* DOS at the Fermi energy: 0.06 states/eV/atom
* symmetry: Ibam (72)

a = 8.542 Å, b = 8.542 Å, c = 8.542 Å
α = 121.76°, β = 103.81°, γ = 103.59°
Each line ends with the local moment (μB).
Fractional coordinates of all 28 atoms:
Ba1 0.750 0.250 0.500  0.00
Ba2 0.250 0.750 0.500  0.00
V1 0.672 0.605 0.277  0.58
V2 0.328 0.395 0.723  0.58
V3 0.172 0.895 0.068  0.58
V4 0.828 0.105 0.932  0.58
F1 0.709 0.853 0.328  -0.01
F2 0.291 0.147 0.672  -0.01
F3 0.525 0.381 0.672  -0.01
F4 0.975 0.647 0.856  -0.01
F5 0.475 0.619 0.328  -0.01
F6 0.025 0.353 0.144  -0.01
F7 0.791 0.119 0.144  -0.01
F8 0.209 0.881 0.856  -0.01
F9 0.500 0.500 0.000  -0.05
F10 0.000 0.000 0.000  -0.05
F11 0.798 0.894 0.692  -0.03
F12 0.202 0.106 0.308  -0.03
F13 0.298 0.606 0.904  -0.03
F14 0.702 0.394 0.096  -0.03
F15 0.921 0.734 0.414  -0.01
F16 0.079 0.266 0.586  -0.01
F17 0.320 0.506 0.586  -0.01
F18 0.180 0.766 0.186  -0.01
F19 0.680 0.494 0.414  -0.01
F20 0.820 0.234 0.814  -0.01
F21 0.579 0.994 0.814  -0.01
F22 0.421 0.006 0.186  -0.01

=====

(9)
Here is Ba2VF8 after structural relaxation from Alexandria. Energies are from PBE+U.

* DOS at the Fermi energy: 0.00 states/eV/atom
* symmetry: C2/m (12)

a = 4.756 Å, b = 4.958 Å, c = 8.319 Å
α = 105.57°, β = 104.78°, γ = 95.92°
Each line ends with the local moment (μB).
Fractional coordinates of all 11 atoms:
F1 0.795 0.159 0.820  0.00
F2 0.975 0.339 0.180  0.00
F3 0.260 0.791 0.520  0.00
F4 0.657 0.799 0.000  0.00
F5 0.740 0.271 0.480  0.00
F6 0.024 0.721 0.820  0.00
F7 0.204 0.902 0.180  0.00
F8 0.342 0.261 0.000  0.00
Ba1 0.338 0.369 0.676  0.00
Ba2 0.662 0.693 0.324  0.00
V1 0.999 0.030 0.000  0.99

=====

(10)
Here is BaVF5 after structural relaxation from Alexandria. Energies are from PBE+U.

* DOS at the Fermi energy: 0.00 states/eV/atom
* symmetry: C2/c (15)

a = 6.085 Å, b = 6.085 Å, c = 8.440 Å
α = 95.83°, β = 113.15°, γ = 108.29°
Each line ends with the local moment (μB).
Fractional coordinates of all 14 atoms:
Ba1 0.701 0.451 0.250  0.00
Ba2 0.299 0.549 0.750  0.00
V1 0.000 0.000 0.000  1.91
V2 0.500 0.000 0.500  1.91
F1 0.875 0.194 0.108  0.00
F2 0.186 0.740 0.473  0.00
F3 0.414 0.233 0.608  0.00
F4 0.310 0.060 0.250  0.01
F5 0.767 0.713 0.027  0.00
F6 0.233 0.287 0.973  0.00
F7 0.690 0.940 0.750  0.01
F8 0.586 0.767 0.392  0.00
F9 0.814 0.260 0.527  0.00
F10 0.125 0.806 0.892  0.00

=====

(11)
Here is BaVF2 after structural relaxation from Alexandria. Energies are from PBE+U.

* DOS at the Fermi energy: 1.86 states/eV/atom
* symmetry: Fm-3m (225)

a = 4.801 Å, b = 4.801 Å, c = 4.801 Å
α = 60.00°, β = 60.00°, γ = 60.00°
Each line ends with the local moment (μB).
Fractional coordinates of all 4 atoms:
V1 0.000 0.000 0.000  3.51
Ba1 0.500 0.500 0.500  0.22
F1 0.250 0.250 0.250  0.06
F2 0.750 0.750 0.750  0.06

=====

(12)
Here is BaVWF2 after structural relaxation from Alexandria. Energies are from PBE+U.

* DOS at the Fermi energy: 0.38 states/eV/atom
* symmetry: P4/mmm (123)

a = 4.481 Å, b = 5.642 Å, c = 4.481 Å
α = 90.00°, β = 90.00°, γ = 90.00°
Each line ends with the local moment (μB).
Fractional coordinates of all 5 atoms:
F1 0.000 0.000 0.500  0.01
F2 0.500 0.000 0.000  0.02
Ba1 0.500 0.500 0.500  0.33
W1 0.000 0.000 0.000  -0.66
V1 0.000 0.500 0.000  3.28

=====

(13)
Here is Ba2VZn3F12 after structural relaxation from Alexandria. Energies are from PBE+U.

* symmetry: R-3m (166)

a = 7.213 Å, b = 7.213 Å, c = 7.213 Å
α = 61.04°, β = 61.04°, γ = 61.04°
Each line ends with the local moment (μB).
Fractional coordinates of all 18 atoms:
Ba1 0.623 0.623 0.623  0.00
Ba2 0.377 0.377 0.377  0.00
V1 0.000 0.000 0.000  2.71
Zn1 0.500 0.000 0.000  0.00
Zn2 0.000 0.500 0.000  0.00
Zn3 0.000 0.000 0.500  0.00
F1 0.335 0.335 0.905  0.00
F2 0.896 0.896 0.354  0.00
F3 0.354 0.896 0.896  0.00
F4 0.905 0.335 0.335  0.00
F5 0.896 0.354 0.896  0.00
F6 0.335 0.905 0.335  0.00
F7 0.665 0.665 0.095  0.00
F8 0.104 0.104 0.646  0.00
F9 0.646 0.104 0.104  0.00
F10 0.095 0.665 0.665  0.00
F11 0.104 0.646 0.104  0.00
F12 0.665 0.095 0.665  0.00

=====

(14)
Here is BaVZnF7 after structural relaxation from Alexandria. Energies are from PBE+U.

* DOS at the Fermi energy: 0.00 states/eV/atom
* symmetry: P2_1/c (14)

a = 10.090 Å, b = 5.723 Å, c = 9.747 Å
α = 86.79°, β = 90.00°, γ = 90.00°
Each line ends with the local moment (μB).
Fractional coordinates of all 40 atoms:
Ba1 0.320 0.737 0.498  0.00
Ba2 0.820 0.263 0.002  0.00
Ba3 0.680 0.263 0.502  0.00
Ba4 0.180 0.737 0.998  0.00
V1 0.612 0.804 0.811  1.91
V2 0.388 0.196 0.189  1.91
V3 0.888 0.804 0.311  1.91
V4 0.112 0.196 0.689  1.91
Zn1 0.400 0.306 0.812  0.00
Zn2 0.900 0.694 0.688  0.00
Zn3 0.100 0.306 0.312  0.00
Zn4 0.600 0.694 0.188  0.00
F1 0.443 0.889 0.123  0.00
F2 0.053 0.636 0.370  0.01
F3 0.709 0.522 0.754  0.00
F4 0.291 0.478 0.246  0.00
F5 0.459 0.111 0.368  0.00
F6 0.810 0.739 0.498  0.00
F7 0.779 0.973 0.751  0.00
F8 0.959 0.889 0.132  0.00
F9 0.447 0.636 0.870  0.01
F10 0.209 0.478 0.746  0.00
F11 0.057 0.889 0.623  0.00
F12 0.557 0.111 0.877  0.00
F13 0.279 0.027 0.749  0.00
F14 0.958 0.610 0.875  0.00
F15 0.541 0.889 0.632  0.00
F16 0.041 0.111 0.868  0.00
F17 0.221 0.027 0.249  0.00
F18 0.943 0.111 0.377  0.00
F19 0.458 0.390 0.625  0.00
F20 0.947 0.364 0.630  0.01
F21 0.042 0.390 0.125  0.00
F22 0.721 0.973 0.251  0.00
F23 0.542 0.610 0.375  0.00
F24 0.310 0.261 0.002  0.00
F25 0.190 0.261 0.502  0.00
F26 0.690 0.739 0.998  0.00
F27 0.553 0.364 0.130  0.01
F28 0.791 0.522 0.254  0.00

=====

(15)
Here is BaW2F after structural relaxation from Alexandria. Energies are from PBE+U.

* DOS at the Fermi energy: 0.50 states/eV/atom
* symmetry: I4_1/amd (141)

a = 7.113 Å, b = 7.113 Å, c = 7.249 Å
α = 60.62°, β = 60.62°, γ = 90.00°
Each line ends with the local moment (μB).
Fractional coordinates of all 8 atoms:
Ba1 0.000 0.000 0.000  -0.09
Ba2 0.750 0.250 0.500  -0.09
W1 0.375 0.125 0.250  3.35
W2 0.375 0.625 0.250  3.35
W3 0.375 0.625 0.750  3.35
W4 0.875 0.625 0.750  3.33
F1 0.500 0.500 0.000  0.04
F2 0.250 0.750 0.500  0.04

=====

(16)
Here is BaW2F after structural relaxation from Alexandria. Energies are from PBE+U.

* DOS at the Fermi energy: 1.53 states/eV/atom
* symmetry: Fm-3m (225)

a = 4.815 Å, b = 4.815 Å, c = 4.815 Å
α = 60.00°, β = 60.00°, γ = 60.00°
Fractional coordinates of all 4 atoms:
Ba1 0.500 0.500 0.500
W1 0.250 0.250 0.250
W2 0.750 0.750 0.750
F1 0.000 0.000 0.000

=====

(17)
Here is BaWF5 after structural relaxation from Alexandria. Energies are from PBE+U.

* DOS at the Fermi energy: 0.00 states/eV/atom
* symmetry: C2/c (15)

a = 6.263 Å, b = 6.263 Å, c = 8.439 Å
α = 71.30°, β = 71.30°, γ = 72.60°
Each line ends with the local moment (μB).
Fractional coordinates of all 14 atoms:
Ba1 0.540 0.460 0.750  0.00
Ba2 0.460 0.540 0.250  0.00
W1 0.000 0.000 0.000  2.81
W2 0.000 0.000 0.500  2.81
F1 0.242 0.207 0.889  0.03
F2 0.293 0.723 0.526  0.02
F3 0.207 0.242 0.389  0.03
F4 0.931 0.069 0.750  0.02
F5 0.277 0.707 0.974  0.02
F6 0.723 0.293 0.026  0.02
F7 0.069 0.931 0.250  0.02
F8 0.793 0.758 0.611  0.03
F9 0.707 0.277 0.474  0.02
F10 0.758 0.793 0.111  0.03

=====

(18)
Here is Ba3WF after structural relaxation from Alexandria. Energies are from PBE+U.

* DOS at the Fermi energy: 0.98 states/eV/atom
* symmetry: Pm-3m (221)

a = 5.634 Å, b = 5.634 Å, c = 5.634 Å
α = 90.00°, β = 90.00°, γ = 90.00°
Each line ends with the local moment (μB).
Fractional coordinates of all 5 atoms:
Ba1 0.000 0.500 0.000  -0.09
Ba2 0.000 0.000 0.500  -0.10
Ba3 0.500 0.000 0.000  -0.05
W1 0.500 0.500 0.500  3.46
F1 0.000 0.000 0.000  -0.01

=====

(19)
Here is BaWF6 after structural relaxation from Alexandria. Energies are from PBE+U.

* DOS at the Fermi energy: 0.00 states/eV/atom
* symmetry: C2/m (12)

a = 5.159 Å, b = 6.660 Å, c = 5.062 Å
α = 48.87°, β = 82.58°, γ = 78.68°
Each line ends with the local moment (μB).
Fractional coordinates of all 8 atoms:
Ba1 0.000 0.000 0.000  0.00
W1 0.500 0.500 0.000  1.93
F1 0.781 0.576 0.637  0.02
F2 0.781 0.213 0.363  0.02
F3 0.219 0.787 0.637  0.02
F4 0.219 0.424 0.363  0.02
F5 0.573 0.783 0.000  0.01
F6 0.427 0.217 0.000  0.01

=====

no.,final energy (Ha/atom)
1,-0.2274
2,-0.2034
3,-0.1835
4,-0.2225
5,-0.2223
6,-0.1836
7,-0.1969
8,-0.1999
9,-0.2119
10,-0.2206
11,-0.1721
12,-0.1653
13,-0.1789
14,-0.1986
15,-0.1458
16,-0.0796
17,-0.2126
18,-0.1278
19,-0.2111